[1]
PBE-GGA HfNi3S, relaxed; energy relative to the elements, uncorrected = -0.09 eV/atom; DOS at the Fermi energy = 6.368 states/eV/cell; distance to the lowest polymorph of the same formula = 0 meV per atom; energy = -31.86 eV for the cell shown
1.0
4.1617 0.0000 0.0000
0.0000 4.1617 0.0000
0.0000 0.0000 4.1617
Ni S Hf
3 1 1
Direct
0.0000 0.5000 0.0000 Ni
0.0000 0.0000 0.5000 Ni
0.5000 0.0000 0.0000 Ni
0.0000 0.0000 0.0000 S
0.5000 0.5000 0.5000 Hf

[2]
PBE-GGA HfNiSbS2, relaxed; energy relative to the elements, uncorrected = 0.75 eV/atom; DOS at the Fermi energy = 3.936 states/eV/cell; energy = -24.35 eV for the cell shown
1.0
-0.0468 1.1652 -4.8544
4.3449 -1.5271 -0.4085
-1.7063 -4.5660 -1.0795
Sb S Hf Ni
1 2 1 1
Direct
0.0000 0.0000 0.0000 Sb
0.0000 0.0000 0.5000 S
0.5000 0.0000 0.0000 S
0.5000 0.5000 0.5000 Hf
0.0000 0.5000 0.0000 Ni

[3]
PBE-GGA Sm2HfNiS5, relaxed; energy relative to the elements, uncorrected = -1.66 eV/atom; DOS at the Fermi energy = 1.696 states/eV/cell; energy = -121.48 eV for the cell shown
1.0
-0.2618 -1.1244 3.5760
2.2894 -7.0726 -4.0305
10.9662 2.6224 1.6274
Sm Hf Ni S
4 2 2 10
Direct
0.8767 0.7535 0.8203 Sm
0.1105 0.2210 0.6942 Sm
0.1233 0.2465 0.3203 Sm
0.8895 0.7790 0.1942 Sm
0.8150 0.6300 0.5131 Hf
0.1850 0.3700 0.0131 Hf
0.5712 0.1423 0.9391 Ni
0.4288 0.8577 0.4391 Ni
0.3475 0.6950 0.0089 S
0.6939 0.3878 0.8570 S
0.4974 0.9948 0.7758 S
0.2918 0.5836 0.6707 S
0.9607 0.9213 0.5449 S
0.6525 0.3050 0.5089 S
0.3061 0.6122 0.3570 S
0.5026 0.0052 0.2758 S
0.7082 0.4164 0.1707 S
0.0393 0.0787 0.0449 S

[4]
PBE-GGA SrHfNiS3, relaxed; energy relative to the elements, uncorrected = -1.49 eV/atom; DOS at the Fermi energy = 1.547 states/eV/cell; energy = -77.53 eV for the cell shown
1.0
3.7322 0.0000 0.0000
0.0000 7.8847 -0.2426
0.0000 -2.3177 8.3064
Sr Hf Ni S
2 2 2 6
Direct
0.2500 0.2081 0.2530 Sr
0.7500 0.7919 0.7470 Sr
0.2500 0.6918 0.1750 Hf
0.7500 0.3082 0.8250 Hf
0.2500 0.0947 0.6016 Ni
0.7500 0.9053 0.3984 Ni
0.7500 0.8976 0.1343 S
0.2500 0.1024 0.8657 S
0.2500 0.7776 0.4735 S
0.7500 0.2224 0.5265 S
0.7500 0.4496 0.1501 S
0.2500 0.5504 0.8499 S

[5]
PBE-GGA Hf2Tl3NiS6, relaxed; energy relative to the elements, uncorrected = -0.89 eV/atom; DOS at the Fermi energy = 3.110 states/eV/cell; energy = -68.23 eV for the cell shown
1.0
6.3029 0.0018 0.0037
-3.1483 5.4602 0.0037
-1.0489 -1.8162 7.9294
Hf Tl Ni S
2 3 1 6
Direct
0.3333 0.6667 0.0000 Hf
0.6667 0.3333 0.0000 Hf
0.1656 0.8344 0.5000 Tl
0.8344 0.1656 0.5000 Tl
0.5000 0.5000 0.5000 Tl
0.0000 0.0000 0.0000 Ni
0.9409 0.6158 0.8217 S
0.7347 0.7347 0.1769 S
0.0591 0.3842 0.1783 S
0.6158 0.9409 0.8217 S
0.2653 0.2653 0.8231 S
0.3842 0.0591 0.1783 S

[6]
PBE-GGA Hf3Tl3NiS8, relaxed; energy relative to the elements, uncorrected = -1.01 eV/atom; DOS at the Fermi energy = 5.262 states/eV/cell; energy = -90.90 eV for the cell shown
1.0
-3.6477 -2.7506 5.6690
6.5258 -2.6913 -1.7755
0.3596 7.9992 4.1197
Hf Tl Ni S
3 3 1 8
Direct
0.5000 0.0000 0.5000 Hf
0.5000 0.5000 0.5000 Hf
0.0000 0.5000 0.5000 Hf
0.0000 0.0000 0.0000 Tl
0.0000 0.5000 0.0000 Tl
0.5000 0.5000 0.0000 Tl
0.0000 0.0000 0.5000 Ni
0.2723 0.5445 0.3164 S
0.7277 0.4555 0.6836 S
0.7775 0.5547 0.3229 S
0.2225 0.4453 0.6771 S
0.7773 0.0459 0.3229 S
0.2227 0.9541 0.6771 S
0.2686 0.0458 0.3230 S
0.7314 0.9542 0.6770 S

[7]
PBE-GGA HfZr2NiS, relaxed; energy relative to the elements, uncorrected = 0.23 eV/atom; DOS at the Fermi energy = 7.328 states/eV/cell; energy = -35.80 eV for the cell shown
1.0
-4.2631 -1.0603 2.0939
1.1642 -4.6101 0.0359
2.0221 0.5448 4.3929
Ni S Hf Zr
1 1 1 2
Direct
0.0000 0.0000 0.0000 Ni
0.5000 0.5000 0.5000 S
0.0000 0.5000 0.0000 Hf
0.0000 0.0000 0.5000 Zr
0.5000 0.0000 0.0000 Zr

[8]
PBE-GGA Hf3NiSb, relaxed; energy relative to the elements, uncorrected = -0.11 eV/atom; DOS at the Fermi energy = 10.773 states/eV/cell; distance to the lowest polymorph of the same formula = 0 meV per atom; energy = -80.64 eV for the cell shown
1.0
-2.2765 -3.5366 -2.0494
4.8640 -4.5033 2.3681
-5.8803 1.3550 4.1936
Hf Ni Sb
6 2 2
Direct
0.5000 0.3021 0.0000 Hf
0.0000 0.8750 0.7500 Hf
0.5000 0.6979 0.0000 Hf
0.5000 0.5000 0.5000 Hf
0.0000 0.1250 0.2500 Hf
0.5000 0.0000 0.5000 Hf
0.5000 0.0969 0.1939 Ni
0.5000 0.9031 0.8061 Ni
0.0000 0.6392 0.2785 Sb
0.0000 0.3608 0.7215 Sb

[9]
PBE-GGA HfNiSb, relaxed; energy relative to the elements, uncorrected = -0.53 eV/atom; DOS at the Fermi energy = 2.070 states/eV/cell; energy = -21.44 eV for the cell shown
1.0
-1.7271 -2.2791 3.2395
2.3969 -1.0067 3.4515
-0.7815 1.8996 3.8016
Sb Hf Ni
1 1 1
Direct
0.0000 0.0000 0.0000 Sb
0.5000 0.5000 0.5000 Hf
0.2500 0.2500 0.2500 Ni

[10]
PBE-GGA Hf3NiSb, relaxed; energy relative to the elements, uncorrected = -0.05 eV/atom; DOS at the Fermi energy = 3.750 states/eV/cell; distance to the lowest polymorph of the same formula = 66 meV per atom; energy = -39.99 eV for the cell shown
1.0
-0.2460 0.4124 4.7880
-3.0493 -3.7189 0.1636
3.7143 -3.0258 0.4515
Sb Hf Ni
1 3 1
Direct
0.5000 0.5000 0.5000 Sb
0.0000 0.5000 0.0000 Hf
0.0000 0.0000 0.5000 Hf
0.5000 0.0000 0.0000 Hf
0.0000 0.0000 0.0000 Ni

[11]
PBE-GGA HfNiSb2, relaxed; energy relative to the elements, uncorrected = 0.14 eV/atom; DOS at the Fermi energy = 3.274 states/eV/cell; energy = -23.41 eV for the cell shown
1.0
3.2865 0.0000 0.0000
1.6433 2.8462 0.0000
1.6433 0.9487 9.4237
Sb Hf Ni
2 1 1
Direct
0.1031 0.1031 0.6907 Sb
0.8969 0.8969 0.3093 Sb
0.0000 0.0000 0.0000 Hf
0.5000 0.5000 0.5000 Ni

[12]
PBE-GGA HfNiSb3, relaxed; energy relative to the elements, uncorrected = 0.83 eV/atom; DOS at the Fermi energy = 5.553 states/eV/cell; distance to the lowest polymorph of the same formula = 434 meV per atom; energy = -23.96 eV for the cell shown
1.0
5.4471 0.0000 0.0000
0.0000 5.4471 0.0000
0.0000 0.0000 5.4471
Sb Hf Ni
3 1 1
Direct
0.0000 0.5000 0.0000 Sb
0.0000 0.0000 0.5000 Sb
0.5000 0.0000 0.0000 Sb
0.0000 0.0000 0.0000 Hf
0.5000 0.5000 0.5000 Ni